{"formula": "SrBiPb2Cl", "functional": "PBEsol", "state": "relaxed", "space_group": "No. 123", "n_ef_per_ev_cell": 4.61, "mass_density_g_cm3": 6.366, "raw_formation_energy_ev_per_fu": 0.53, "magnetic_moment_mub_per_fu": 0.0, "lattice": [[-4.1504, -0.4220, -2.9667], [-1.0943, -5.6052, 2.3283], [-3.4404, 2.5219, 4.4543]], "species": ["Pb", "Pb", "Sr", "Bi", "Cl"], "fractional_positions": [[0.0000, 0.0000, 0.5000], [0.0000, 0.5000, 0.0000], [0.0000, 0.0000, 0.0000], [0.5000, 0.5000, 0.5000], [0.5000, 0.0000, 0.0000]]}